1.
ScZnIr, optimized geometry, DFT PBE; Fermi-level density of states = 2.2 states/eV/f.u.; calculated volume = 51.20 Å³/cell; ΔH_f (0 K) = -235 meV/atom; symmetry = No. 156
1.0
3.0218 0.0000 0.0000
-1.5109 2.6170 0.0000
0.0000 0.0000 6.4740
Sc Zn Ir
1 1 1
Direct
0.0000 0.0000 0.0000
0.6667 0.3333 0.3631
0.3333 0.6667 0.6809


2.
Sc6Zn3Ir, optimized geometry, DFT PBE; Fermi-level density of states = 7.2 states/eV/f.u.; calculated volume = 389.10 Å³/cell; ΔH_f (0 K) = -430 meV/atom; symmetry = No. 11
1.0
8.3047 0.0000 0.0000
0.0000 4.7454 0.0000
-3.2317 0.0000 9.8734
Sc Zn Ir
12 6 2
Direct
0.0318 0.2500 0.4093
0.1675 0.7500 0.1696
0.2635 0.2500 0.0027
0.3450 0.7500 0.8219
0.3745 0.2500 0.3393
0.3863 0.2500 0.6329
0.6137 0.7500 0.3671
0.6255 0.7500 0.6607
0.6550 0.2500 0.1781
0.7365 0.7500 0.9973
0.8325 0.2500 0.8304
0.9682 0.7500 0.5907
0.0194 0.7500 0.8731
0.0982 0.2500 0.7183
0.2721 0.7500 0.4728
0.7279 0.2500 0.5272
0.9018 0.7500 0.2817
0.9806 0.2500 0.1269
0.4569 0.7500 0.0988
0.5431 0.2500 0.9012


3.
ScZn2Ir2, optimized geometry, DFT PBE; Fermi-level density of states = 1.6 states/eV/f.u.; relative energy among the computed polymorphs = 0.0722 eV per atom; calculated volume = 158.65 Å³/cell; ΔH_f (0 K) = -381 meV/atom; symmetry = No. 127
1.0
7.1728 0.0000 0.0000
0.0000 7.1728 0.0000
0.0000 0.0000 3.0837
Sc Zn Ir
2 4 4
Direct
0.0000 0.0000 0.0000
0.5000 0.5000 0.0000
0.1532 0.3468 0.5000
0.3468 0.8468 0.5000
0.6532 0.1532 0.5000
0.8468 0.6532 0.5000
0.1446 0.6446 0.0000
0.3554 0.1446 0.0000
0.6446 0.8554 0.0000
0.8554 0.3554 0.0000


4.
Sc8Zn2Ir, optimized geometry, DFT PBE; Fermi-level density of states = 10.2 states/eV/f.u.; relative energy among the computed polymorphs = 0.0000 eV per atom; calculated volume = 231.80 Å³/cell; ΔH_f (0 K) = -345 meV/atom; symmetry = No. 12
1.0
8.0595 -2.3937 0.0000
8.0595 2.3937 0.0000
-2.1930 0.0000 6.0074
Sc Zn Ir
8 2 1
Direct
0.0229 0.0229 0.2850
0.1962 0.1962 0.7990
0.3380 0.3380 0.5351
0.4075 0.4075 0.0588
0.5925 0.5925 0.9412
0.6620 0.6620 0.4649
0.8038 0.8038 0.2010
0.9771 0.9771 0.7150
0.1796 0.1796 0.2026
0.8204 0.8204 0.7974
0.5000 0.5000 0.5000


5.
Sc4Zn3Ir, optimized geometry, DFT PBE; Fermi-level density of states = 6.4 states/eV/f.u.; calculated volume = 290.78 Å³/cell; ΔH_f (0 K) = -562 meV/atom; symmetry = No. 51
1.0
9.3645 0.0000 0.0000
0.0000 6.6316 0.0000
0.0000 0.0000 4.6823
Sc Zn Ir
8 6 2
Direct
0.0000 0.2427 0.0000
0.0000 0.7573 0.0000
0.2500 0.2427 0.4990
0.2500 0.7573 0.4990
0.5000 0.2427 0.0000
0.5000 0.7573 0.0000
0.7500 0.2427 0.5010
0.7500 0.7573 0.5010
0.0000 0.5000 0.5000
0.2500 0.0000 0.9983
0.2500 0.5000 0.9987
0.5000 0.5000 0.5000
0.7500 0.0000 0.0017
0.7500 0.5000 0.0013
0.0000 0.0000 0.5000
0.5000 0.0000 0.5000


6.
ScZnIr4, optimized geometry, DFT PBE; Fermi-level density of states = 6.5 states/eV/f.u.; calculated volume = 99.48 Å³/cell; ΔH_f (0 K) = -278 meV/atom; symmetry = No. 216
1.0
0.0000 3.6776 3.6776
3.6776 0.0000 3.6776
3.6776 3.6776 0.0000
Sc Zn Ir
1 1 4
Direct
0.0000 0.0000 0.0000
0.2500 0.2500 0.2500
0.1256 0.6248 0.6248
0.6248 0.1256 0.6248
0.6248 0.6248 0.1256
0.6248 0.6248 0.6248